No. 1
Computed, not measured: a relaxed GeSF crystal at the PBE-GGA level of DFT.

Lattice parameters (Å, degrees): 7.047 7.047 5.539 107.44 107.44 30.59
Positions (direct):
Ge: 0.160 0.160 0.224
Ge: 0.840 0.840 0.776
S: 0.472 0.472 0.801
S: 0.528 0.528 0.199
F: 0.191 0.191 0.579
F: 0.809 0.809 0.421

Values from the calculation:
The excess energy over the best structure of this formula in the dataset is 0 meV per atom.

---

No. 2
Computed, not measured: a relaxed ScGe2SF crystal at the PBE-GGA level of DFT.

Lattice parameters (Å, degrees): 4.137 4.137 5.684 90.00 90.00 90.00
Positions (direct):
Sc: 0.000 0.000 0.000
Ge: 0.000 0.500 0.500
Ge: 0.500 0.000 0.500
S: 0.500 0.500 0.000
F: 0.500 0.500 0.500

---

| no. | formation energy from raw total energies (eV/atom) |
| --- | --- |
| 1 | -1.058 |
| 2 | -0.437 |